Entry 1:
Entry from Alexandria via LeMat-Bulk: a relaxed LaMgOs2 crystal (GGA-PBE).

POSCAR file:
```
LaMgOs2
1.0
-0.418 -2.900 0.397
1.858 0.047 2.299
-6.882 1.747 5.527
La Mg Os
1 1 2
Direct
0.000 0.000 0.468 La
0.500 0.500 0.809 Mg
0.000 0.000 0.026 Os
0.500 0.500 0.198 Os
```

Output
Total moment = 0.00 μB/f.u.
Symmetry = P4mm (99)
Density = 11.5 g/cm³
Energy of formation from the pure elements = 0.16 eV/atom

=====

Entry 2:
Entry from Alexandria via LeMat-Bulk: a relaxed SrPPt3 crystal (GGA-PBE).

POSCAR file:
```
SrPPt3
1.0
4.662 0.000 0.000
0.000 4.662 0.000
0.000 0.000 4.662
Sr Pt P
1 3 1
Direct
0.500 0.500 0.500 Sr
0.000 0.500 0.000 Pt
0.000 0.000 0.500 Pt
0.500 0.000 0.000 Pt
0.000 0.000 0.000 P
```

Output
Total moment = 0.00 μB/f.u.
Symmetry = Pm-3m (221)
E above lowest polymorph = 0.2452 eV per atom
Density = 11.5 g/cm³
Energy of formation from the pure elements = -0.57 eV/atom

=====

Entry 3:
Entry from Alexandria via LeMat-Bulk: a relaxed NdCuAu2 crystal (GGA-PBE).

POSCAR file:
```
NdCuAu2
1.0
-2.652 -3.695 -0.101
0.800 -3.292 -3.036
2.274 -4.490 2.059
Nd Au Cu
1 2 1
Direct
0.000 0.000 0.000 Nd
0.782 0.782 0.653 Au
0.218 0.218 0.347 Au
0.500 0.500 0.500 Cu
```

Output
Total moment = 0.00 μB/f.u.
Symmetry = R-3m (166)
E above lowest polymorph = 0.0670 eV per atom
Density = 11.7 g/cm³
Energy of formation from the pure elements = -0.52 eV/atom

=====

Entry 4:
Entry from Alexandria via LeMat-Bulk: a relaxed Nd2DyY2Mg crystal (GGA-PBE).

POSCAR file:
```
Nd2DyY2Mg
1.0
5.569 0.000 0.000
0.000 9.911 0.000
0.000 0.000 6.882
Nd Dy Y Mg
4 2 4 2
Direct
0.500 0.827 0.247 Nd
0.500 0.173 0.753 Nd
0.000 0.673 0.747 Nd
0.000 0.327 0.253 Nd
0.500 0.500 0.000 Dy
0.000 0.000 0.500 Dy
0.500 0.158 0.244 Y
0.000 0.658 0.256 Y
0.500 0.842 0.756 Y
0.000 0.342 0.744 Y
0.000 0.000 0.000 Mg
0.500 0.500 0.500 Mg
```

Output
Total moment = 0.00 μB/f.u.
Symmetry = Pnnm (58)
Density = 5.7 g/cm³
Energy of formation from the pure elements = 0.11 eV/atom

=====

Entry 5:
Entry from Alexandria via LeMat-Bulk: a relaxed YIn6Hg crystal (GGA-PBE).

POSCAR file:
```
YIn6Hg
1.0
4.414 0.000 0.000
0.000 6.849 -0.043
0.000 0.044 6.849
Y In Hg
1 6 1
Direct
0.500 0.000 0.000 Y
0.000 0.743 0.257 In
0.000 0.257 0.743 In
0.000 0.743 0.743 In
0.000 0.257 0.257 In
0.500 0.500 0.000 In
0.500 0.000 0.500 In
0.500 0.500 0.500 Hg
```

Output
Total moment = 0.00 μB/f.u.
Symmetry = P4/mmm (123)
Density = 7.8 g/cm³
Energy of formation from the pure elements = -0.14 eV/atom

=====

Entry 6:
Entry from Alexandria via LeMat-Bulk: a relaxed MgH4Pd crystal (GGA-PBE).

POSCAR file:
```
MgH4Pd
1.0
-1.461 2.710 2.128
4.098 -3.020 3.370
3.093 3.917 -2.866
Mg H Pd
2 8 2
Direct
0.207 0.414 0.244 Mg
0.793 0.586 0.756 Mg
0.047 0.095 0.369 H
0.090 0.180 0.961 H
0.746 0.492 0.346 H
0.609 0.218 0.693 H
0.391 0.782 0.307 H
0.254 0.508 0.654 H
0.910 0.820 0.039 H
0.953 0.905 0.631 H
0.112 0.224 0.683 Pd
0.888 0.776 0.317 Pd
```

Output
Total moment = 0.00 μB/f.u.
Symmetry = C2/m (12)
E above lowest polymorph = 0.0000 eV per atom
Density = 3.7 g/cm³

=====

Entry 7:
Entry from Alexandria via LeMat-Bulk: a relaxed NaAgPd crystal (GGA-PBE).

POSCAR file:
```
NaAgPd
1.0
-1.929 -2.223 0.141
1.557 -1.479 -2.017
3.684 -0.887 5.647
Na Ag Pd
1 1 1
Direct
0.609 0.609 0.218 Na
0.297 0.297 0.593 Ag
0.944 0.944 0.888 Pd
```

Output
Total moment = 0.00 μB/f.u.
Symmetry = I4mm (107)
E above lowest polymorph = 0.1331 eV per atom
Density = 7.0 g/cm³
Energy of formation from the pure elements = -0.01 eV/atom

=====

Entry 8:
Entry from Alexandria via LeMat-Bulk: a relaxed Ac3Pm3Ni4 crystal (GGA-PBE).

POSCAR file:
```
Ac3Pm3Ni4
1.0
-3.201 -0.529 -2.376
4.833 -2.327 -5.993
-0.469 -7.681 2.341
Ac Pm Ni
3 3 4
Direct
0.000 0.511 0.001 Ac
0.000 0.999 0.489 Ac
0.500 0.158 0.842 Ac
0.500 0.836 0.164 Pm
0.500 0.347 0.342 Pm
0.500 0.658 0.653 Pm
0.000 0.616 0.384 Ni
0.000 0.391 0.609 Ni
0.000 0.875 0.892 Ni
0.000 0.108 0.125 Ni
```

Output
Total moment = 0.00 μB/f.u.
Symmetry = Amm2 (38)
Density = 8.6 g/cm³
Energy of formation from the pure elements = -0.16 eV/atom

=====

Entry 9:
Entry from Alexandria via LeMat-Bulk: a relaxed Pr4Sm5Sc crystal (GGA-PBE).

POSCAR file:
```
Pr4Sm5Sc
1.0
5.613 0.000 -1.360
-1.016 11.310 -4.192
-1.238 -3.478 7.154
Pr Sm Sc
4 5 1
Direct
0.441 0.188 0.882 Pr
0.172 0.367 0.344 Pr
0.559 0.812 0.118 Pr
0.828 0.633 0.656 Pr
0.837 0.283 0.673 Sm
0.854 0.953 0.707 Sm
0.146 0.047 0.293 Sm
0.500 0.500 0.000 Sm
0.163 0.717 0.327 Sm
0.500 0.000 0.000 Sc
```

Output
Total moment = 0.00 μB/f.u.
Symmetry = C2/m (12)
E above lowest polymorph = 0.0102 eV per atom
Density = 6.5 g/cm³
Energy of formation from the pure elements = 0.21 eV/atom

=====

Entry 10:
Entry from Alexandria via LeMat-Bulk: a relaxed Lu2CdCu crystal (GGA-PBE).

POSCAR file:
```
Lu2CdCu
1.0
-0.763 -4.717 1.520
-0.548 -3.665 -3.378
3.606 -3.435 -0.579
Lu Cu Cd
2 1 1
Direct
0.250 0.250 0.250 Lu
0.750 0.750 0.750 Lu
0.500 0.500 0.500 Cu
0.000 0.000 0.000 Cd
```

Output
Total moment = 0.00 μB/f.u.
Symmetry = Fm-3m (225)
E above lowest polymorph = 0.0553 eV per atom
Density = 9.8 g/cm³
Energy of formation from the pure elements = -0.24 eV/atom

=====

Entry 11:
Entry from Alexandria via LeMat-Bulk: a relaxed PbAuN2O crystal (GGA-PBE).

POSCAR file:
```
PbAuN2O
1.0
-4.306 0.585 1.184
-0.818 -4.352 -0.824
0.994 -0.960 4.087
Pb Au O N
1 1 1 2
Direct
0.000 0.000 0.000 Pb
0.500 0.500 0.500 Au
0.000 0.000 0.500 O
0.000 0.500 0.000 N
0.500 0.000 0.000 N
```

Output
Total moment = 3.14 μB/f.u.
Symmetry = P4/mmm (123)
Energy relative to the elements, uncorrected = 821 kJ/mol of formula units
Density = 8.5 g/cm³

=====

Entry 12:
Entry from Alexandria via LeMat-Bulk: a relaxed SrLa2Ce crystal (GGA-PBE).

POSCAR file:
```
SrLa2Ce
1.0
-0.885 -3.511 -0.708
2.960 -1.128 1.891
-6.030 -0.341 9.238
Sr Ce La
1 1 2
Direct
0.500 0.500 0.500 Sr
0.500 0.500 0.000 Ce
0.000 0.000 0.788 La
0.000 0.000 0.212 La
```

Output
Total moment = 0.00 μB/f.u.
Symmetry = P4/mmm (123)
E above lowest polymorph = 0.0000 eV per atom
Density = 5.6 g/cm³
Energy of formation from the pure elements = 0.10 eV/atom